(1)
A geometry-optimized LiNdInNi structure, computed with PBE.

The calculation puts the volume at 78 Å³/f.u. The density of states at the Fermi level is 27.74 states/eV/cell. For the energy of formation, the calculation gives -0.31 eV/atom.

The space group is F-43m (No. 216) and the conventional cell measures 6.7721, 6.7721 and 6.7721 Å, with angles of 90.00, 90.00 and 90.00 degrees. The distinct sites, in fractional coordinates, are Li at (0.0000, 0.0000, 0.0000), Nd at (0.2500, 0.2500, 0.7500), In at (0.2500, 0.2500, 0.2500) and Ni at (0.0000, 0.0000, 0.5000).



(2)
A geometry-optimized LiNd2InO structure, computed with PBE.

The calculation puts the volume at 109 Å³/f.u. The formation energy from raw total energies comes out at -1355 meV per atom. The density of states at the Fermi level is 2.36 states/eV/cell.

The space group is P4/mmm (No. 123) and the conventional cell measures 4.9972, 4.9972 and 4.3819 Å, with angles of 90.00, 90.00 and 90.00 degrees. The distinct sites, in fractional coordinates, are Li at (0.0000, 0.0000, 0.0000), Nd at (0.0000, 0.5000, 0.5000), In at (0.5000, 0.5000, 0.0000) and O at (0.0000, 0.0000, 0.5000).



(3)
A geometry-optimized LiNd12In4O3 structure, computed with PBE.

The calculation puts the volume at 533 Å³/f.u. The formation energy from raw total energies comes out at -930 meV per atom. The density of states at the Fermi level is 36.21 states/eV/cell.

The space group is Im-3m (No. 229) and the conventional cell measures 10.2145, 10.2145 and 10.2145 Å, with angles of 90.00, 90.00 and 90.00 degrees. The distinct sites, in fractional coordinates, are Li at (0.0000, 0.0000, 0.0000), Nd at (0.0000, 0.0000, 0.2651), Nd at (0.0000, 0.2500, 0.5000), In at (0.2500, 0.2500, 0.2500) and O at (0.0000, 0.0000, 0.5000).